First-principles (PBE) data for crystalline Ba2LiMg2 at its relaxed geometry, as listed in Alexandria via LeMat-Bulk.

Results
Crystal system   tetragonal
Energy of formation from the pure elements   0.044 eV per atom
DOS(E_F)   6.40 states/eV/f.u.
Mass density   2.73 g cm⁻³

abc: 8.3600 8.3600 5.7414
angles: 90.00 90.00 90.00
Element x y z (fractional)
Mg (0.8702, 0.6298, 0.0000)
Mg (0.6298, 0.1298, 0.0000)
Mg (0.1298, 0.3702, 0.0000)
Mg (0.3702, 0.8702, 0.0000)
Ba (0.3256, 0.1744, 0.5000)
Ba (0.8256, 0.3256, 0.5000)
Ba (0.1744, 0.6744, 0.5000)
Ba (0.6744, 0.8256, 0.5000)
Li (0.5000, 0.5000, 0.0000)
Li (0.0000, 0.0000, 0.0000)



First-principles (PBE) data for crystalline BaLi12Mg6 at its relaxed geometry, as listed in Alexandria via LeMat-Bulk.

Results
Crystal system   trigonal
Energy of formation from the pure elements   0.075 eV per atom
DOS(E_F)   11.11 states/eV/f.u.
Mass density   1.31 g cm⁻³

abc: 7.9438 7.9438 7.9438
angles: 101.66 101.66 101.66
Element x y z (fractional)
Mg (0.2809, 0.6972, 0.2809)
Mg (0.3028, 0.7191, 0.7191)
Mg (0.7191, 0.7191, 0.3028)
Mg (0.6972, 0.2809, 0.2809)
Mg (0.7191, 0.3028, 0.7191)
Mg (0.2809, 0.2809, 0.6972)
Li (0.5000, 0.1077, 0.8923)
Li (0.1096, 0.4005, 0.4005)
Li (0.8923, 0.1077, 0.5000)
Li (0.5000, 0.8923, 0.1077)
Li (0.1077, 0.8923, 0.5000)
Li (0.8904, 0.5995, 0.5995)
Li (0.1077, 0.5000, 0.8923)
Li (0.8923, 0.5000, 0.1077)
Li (0.5995, 0.5995, 0.8904)
Li (0.4005, 0.4005, 0.1096)
Li (0.4005, 0.1096, 0.4005)
Li (0.5995, 0.8904, 0.5995)
Ba (0.0000, 0.0000, 0.0000)



First-principles (PBE) data for crystalline BaLiMg3 at its relaxed geometry, as listed in Alexandria via LeMat-Bulk.

Results
Crystal system   cubic
Energy of formation from the pure elements   0.914 eV per atom
DOS(E_F)   5.48 states/eV/f.u.
Mass density   1.28 g cm⁻³

abc: 6.5643 6.5643 6.5643
angles: 90.00 90.00 90.00
Element x y z (fractional)
Mg (0.5000, 0.0000, 0.0000)
Mg (0.0000, 0.0000, 0.5000)
Mg (0.0000, 0.5000, 0.0000)
Ba (0.0000, 0.0000, 0.0000)
Li (0.5000, 0.5000, 0.5000)



First-principles (PBE) data for crystalline Ba2LiMg at its relaxed geometry, as listed in Alexandria via LeMat-Bulk.

Results
Crystal system   trigonal
Energy of formation from the pure elements   0.046 eV per atom
DOS(E_F)   3.19 states/eV/f.u.
Mass density   2.67 g cm⁻³

abc: 9.0135 9.0135 9.0135
angles: 32.69 32.69 32.69
Element x y z (fractional)
Li (0.4583, 0.4583, 0.4583)
Ba (0.0325, 0.0325, 0.0325)
Ba (0.2176, 0.2176, 0.2176)
Mg (0.7916, 0.7916, 0.7916)



First-principles (PBE) data for crystalline BaLi9Mg3 at its relaxed geometry, as listed in Alexandria via LeMat-Bulk.

Results
Crystal system   monoclinic
Energy of formation from the pure elements   -0.001 eV per atom
DOS(E_F)   8.19 states/eV/f.u.
Mass density   1.41 g cm⁻³

abc: 5.9597 7.9676 7.9998
angles: 81.26 68.13 65.92
Element x y z (fractional)
Li (0.6269, 0.3585, 0.3618)
Li (0.9887, 0.3585, 0.6382)
Li (0.4918, 0.2333, 0.7684)
Li (0.3731, 0.6415, 0.6382)
Li (0.0113, 0.6415, 0.3618)
Li (0.0000, 0.5000, 0.0000)
Li (0.2602, 0.2333, 0.2316)
Li (0.7398, 0.7667, 0.7684)
Li (0.5082, 0.7667, 0.2316)
Mg (0.0000, 0.0000, 0.5000)
Mg (0.5000, 0.5000, 0.0000)
Mg (0.5000, 0.0000, 0.5000)
Ba (0.0000, 0.0000, 0.0000)



First-principles (PBE) data for crystalline BaLi6Mg12 at its relaxed geometry, as listed in Alexandria via LeMat-Bulk.

Results
Crystal system   trigonal
Energy of formation from the pure elements   0.045 eV per atom
DOS(E_F)   12.22 states/eV/f.u.
Mass density   1.71 g cm⁻³

abc: 8.0071 8.0071 8.0071
angles: 104.09 104.09 104.09
Element x y z (fractional)
Mg (0.1211, 0.5000, 0.8789)
Mg (0.8789, 0.5000, 0.1211)
Mg (0.5000, 0.1211, 0.8789)
Mg (0.8332, 0.5668, 0.5668)
Mg (0.8789, 0.1211, 0.5000)
Mg (0.5668, 0.8332, 0.5668)
Mg (0.1668, 0.4332, 0.4332)
Mg (0.1211, 0.8789, 0.5000)
Mg (0.4332, 0.1668, 0.4332)
Mg (0.5668, 0.5668, 0.8332)
Mg (0.5000, 0.8789, 0.1211)
Mg (0.4332, 0.4332, 0.1668)
Li (0.7481, 0.7481, 0.2976)
Li (0.2519, 0.7024, 0.2519)
Li (0.7024, 0.2519, 0.2519)
Li (0.7481, 0.2976, 0.7481)
Li (0.2519, 0.2519, 0.7024)
Li (0.2976, 0.7481, 0.7481)
Ba (0.0000, 0.0000, 0.0000)



First-principles (PBE) data for crystalline Ba2LiMg4 at its relaxed geometry, as listed in Alexandria via LeMat-Bulk.

Results
Crystal system   tetragonal
Energy of formation from the pure elements   0.117 eV per atom
DOS(E_F)   8.79 states/eV/f.u.
Mass density   2.46 g cm⁻³

abc: 5.2902 5.2902 9.8573
angles: 74.43 74.43 90.00
Element x y z (fractional)
Li (0.0000, 0.0000, 0.0000)
Ba (0.6503, 0.6503, 0.6994)
Ba (0.3497, 0.3497, 0.3006)
Mg (0.8599, 0.8599, 0.2801)
Mg (0.1401, 0.1401, 0.7199)
Mg (0.0000, 0.5000, 0.0000)
Mg (0.5000, 0.0000, 0.0000)



First-principles (PBE) data for crystalline BaLi10Mg2 at its relaxed geometry, as listed in Alexandria via LeMat-Bulk.

Results
Crystal system   orthorhombic
Energy of formation from the pure elements   0.010 eV per atom
DOS(E_F)   7.58 states/eV/f.u.
Mass density   1.33 g cm⁻³

abc: 7.9239 7.9239 10.2578
angles: 90.00 90.00 97.16
Element x y z (fractional)
Li (0.6031, 0.3969, 0.5784)
Li (0.8239, 0.1761, 0.3965)
Li (0.6031, 0.3969, 0.9216)
Li (0.8732, 0.6175, 0.7500)
Li (0.1761, 0.8239, 0.6035)
Li (0.4831, 0.2434, 0.2500)
Li (0.7640, 0.7640, 0.0000)
Li (0.7566, 0.5169, 0.2500)
Li (0.1761, 0.8239, 0.8965)
Li (0.8239, 0.1761, 0.1035)
Li (0.2434, 0.4831, 0.7500)
Li (0.5169, 0.7566, 0.7500)
Li (0.3969, 0.6031, 0.0784)
Li (0.7640, 0.7640, 0.5000)
Li (0.1268, 0.3825, 0.2500)
Li (0.3969, 0.6031, 0.4216)
Li (0.2360, 0.2360, 0.5000)
Li (0.3825, 0.1268, 0.7500)
Li (0.2360, 0.2360, 0.0000)
Li (0.6175, 0.8732, 0.2500)
Mg (0.0000, 0.5000, 0.0000)
Mg (0.5000, 0.0000, 0.5000)
Mg (0.0000, 0.5000, 0.5000)
Mg (0.5000, 0.0000, 0.0000)
Ba (0.1162, 0.8838, 0.2500)
Ba (0.8838, 0.1162, 0.7500)



First-principles (PBE) data for crystalline Ba2LiMg at its relaxed geometry, as listed in Alexandria via LeMat-Bulk.

Results
Crystal system   trigonal
Energy of formation from the pure elements   0.158 eV per atom
DOS(E_F)   5.43 states/eV/f.u.
Mass density   2.89 g cm⁻³

abc: 11.8957 11.8957 11.8957
angles: 20.21 20.21 20.21
Element x y z (fractional)
Ba (0.0024, 0.0024, 0.0024)
Ba (0.4976, 0.4976, 0.4976)
Li (0.2500, 0.2500, 0.2500)
Mg (0.7500, 0.7500, 0.7500)



First-principles (PBE) data for crystalline Ba2LiMg at its relaxed geometry, as listed in Alexandria via LeMat-Bulk.

Results
Crystal system   tetragonal
Energy of formation from the pure elements   0.013 eV per atom
DOS(E_F)   3.09 states/eV/f.u.
Mass density   3.04 g cm⁻³

abc: 4.1667 4.1667 9.6262
angles: 90.00 90.00 90.00
Element x y z (fractional)
Li (0.0000, 0.0000, 0.5624)
Mg (0.5000, 0.5000, 0.6935)
Ba (0.5000, 0.5000, 0.3067)
Ba (0.0000, 0.0000, 0.9374)



First-principles (PBE) data for crystalline Ba2Li12Mg5 at its relaxed geometry, as listed in Alexandria via LeMat-Bulk.

Results
Crystal system   trigonal
Energy of formation from the pure elements   -0.006 eV per atom
DOS(E_F)   12.71 states/eV/f.u.
Mass density   1.61 g cm⁻³

abc: 7.9599 7.9599 7.9599
angles: 83.23 83.23 83.23
Element x y z (fractional)
Li (0.6588, 0.1361, 0.6588)
Li (0.7180, 0.0000, 0.2820)
Li (0.1361, 0.6588, 0.6588)
Li (0.8639, 0.3412, 0.3412)
Li (0.7180, 0.2820, 0.0000)
Li (0.3412, 0.8639, 0.3412)
Li (0.0000, 0.7180, 0.2820)
Li (0.3412, 0.3412, 0.8639)
Li (0.0000, 0.2820, 0.7180)
Li (0.6588, 0.6588, 0.1361)
Li (0.2820, 0.0000, 0.7180)
Li (0.2820, 0.7180, 0.0000)
Mg (0.0000, 0.0000, 0.5000)
Mg (0.1017, 0.1017, 0.1017)
Mg (0.8983, 0.8983, 0.8983)
Mg (0.5000, 0.0000, 0.0000)
Mg (0.0000, 0.5000, 0.0000)
Ba (0.3474, 0.3474, 0.3474)
Ba (0.6526, 0.6526, 0.6526)



First-principles (PBE) data for crystalline Ba6LiMg3 at its relaxed geometry, as listed in Alexandria via LeMat-Bulk.

Results
Crystal system   monoclinic
Energy of formation from the pure elements   0.006 eV per atom
DOS(E_F)   12.38 states/eV/f.u.
Mass density   3.29 g cm⁻³

abc: 6.3604 11.0108 13.6084
angles: 106.87 90.00 90.00
Element x y z (fractional)
Li (0.2500, 0.9471, 0.6051)
Li (0.7500, 0.0529, 0.3949)
Ba (0.2500, 0.6358, 0.6814)
Ba (0.7500, 0.1699, 0.6937)
Ba (0.2500, 0.1428, 0.1802)
Ba (0.7500, 0.5258, 0.9090)
Ba (0.2500, 0.0875, 0.8822)
Ba (0.2500, 0.4742, 0.0910)
Ba (0.2500, 0.8301, 0.3063)
Ba (0.7500, 0.3642, 0.3186)
Ba (0.7500, 0.7454, 0.4945)
Ba (0.7500, 0.9125, 0.1178)
Ba (0.7500, 0.8572, 0.8198)
Ba (0.2500, 0.2546, 0.5055)
Mg (0.7500, 0.6316, 0.2123)
Mg (0.2500, 0.3684, 0.7877)
Mg (0.7500, 0.2245, 0.0215)
Mg (0.2500, 0.7755, 0.9785)
Mg (0.2500, 0.5356, 0.3832)
Mg (0.7500, 0.4644, 0.6168)